Here is ZrScCo after structural relaxation from Alexandria. Energies are from GGA-PBE.

a b c (Å): 11.0488 3.3876 7.2729
angles (deg): 90.00 123.94 90.00
Space group Cm (No. 8)
Symmetry-distinct sites (fractional):
Zr  0.0000  0.0000  0.0000
Zr  0.0792  0.5000  0.6961
Sc  0.2489  0.0000  0.5481
Sc  0.3219  0.5000  0.2415
Co  0.0437  0.5000  0.3024
Co  0.2781  0.0000  0.9389

Properties
The density of states at the Fermi level comes out at 2.74 states/eV/f.u. The value obtained for the excess energy over the best structure of this formula in the dataset is 0.0000 eV/atom. The formation energy comes out at -0.762 eV/f.u.